Record 1
Material: NdEr7In4
Method: DFT, PBE-GGA
State: relaxed

Volume   352.1 Å³ per cell
Crystal system   monoclinic

The structure in extended XYZ format:
```
12
Lattice="7.199 -2.815 0.000 7.199 2.815 0.000 -5.851 0.000 8.689" Properties=species:S:1:pos:R:3 pbc="T T T"
Nd 0.000 0.000 0.000
Er -1.405 0.000 3.443
Er -2.067 0.000 7.607
Er 2.073 0.000 2.997
Er 7.199 0.000 0.000
Er 6.473 0.000 5.691
Er 10.613 0.000 1.082
Er 9.951 0.000 5.246
In 0.678 0.000 5.793
In 4.907 0.000 2.070
In 3.638 0.000 6.619
In 7.868 0.000 2.896
```

Record 2
Material: HoAl2Au3
Method: DFT, PBE-GGA
State: relaxed

Volume   351.2 Å³ per cell
Relative energy among the computed polymorphs   0.000 eV/atom
Crystal system   monoclinic

The structure in extended XYZ format:
```
18
Lattice="8.480 -2.111 0.000 8.480 2.111 0.000 -3.275 0.000 9.810" Properties=species:S:1:pos:R:3 pbc="T T T"
Ho 0.000 0.000 0.000
Ho 0.351 0.000 6.764
Ho 13.336 0.000 3.046
Al 2.986 0.000 1.215
Al 4.311 0.000 5.469
Al 7.164 0.000 2.206
Al 6.522 0.000 7.604
Al 9.375 0.000 4.341
Al 10.700 0.000 8.595
Au -0.409 0.000 3.265
Au 2.534 0.000 3.728
Au 5.377 0.000 0.485
Au 3.850 0.000 8.078
Au 6.843 0.000 4.905
Au 9.836 0.000 1.732
Au 8.310 0.000 9.325
Au 11.152 0.000 6.082
Au 14.095 0.000 6.545
```

Number 1: DOS at the Fermi energy 11.7 states/eV/f.u., DFT formation energy -0.086 eV per atom. Number 2: DOS at the Fermi energy 2.2 states/eV/f.u., DFT formation energy -0.606 eV per atom.